LiMo2Au: relaxed, GGA-PBE.

Cell and atoms, written as POSCAR:
```
LiMo2Au
1.0
-1.650 -4.054 8.982
0.107 -5.969 8.012
1.086 -3.676 9.227
Au Mo Li
1 2 1
direct
0.750 0.750 0.750
0.001 0.001 0.001
0.499 0.499 0.499
0.250 0.250 0.250
```

Output
The calculation puts the formation enthalpy at 0 K at 44.37 kJ/mol of atoms. The value obtained for the final energy is -6.2535 eV/atom. The calculation puts the excess energy over the best structure of this formula in the dataset at 0.364 eV per atom.



LiMoAu2: relaxed, GGA-PBE.

Cell and atoms, written as POSCAR:
```
LiMoAu2
1.0
6.485 0.613 -0.119
4.004 5.138 0.119
-4.657 -3.947 2.276
Li Mo Au
1 1 2
direct
0.455 0.455 0.000
0.221 0.721 0.500
0.023 0.023 0.000
0.801 0.301 0.500
```

Output
The calculation puts the formation enthalpy at 0 K at 11.62 kJ/mol of atoms. The value obtained for the final energy is -4.7045 eV/atom. The calculation puts the excess energy over the best structure of this formula in the dataset at 0.187 eV per atom.



LiMoAu2: relaxed, GGA-PBE.

Cell and atoms, written as POSCAR:
```
LiMoAu2
1.0
-1.856 -0.710 1.938
-2.411 -2.811 -3.338
2.734 -3.801 1.226
Li Au Mo
1 2 1
direct
0.500 0.000 0.500
0.000 0.000 0.000
0.500 0.500 0.000
0.000 0.500 0.500
```

Output
The calculation puts the formation enthalpy at 0 K at 33.48 kJ/mol of atoms. The value obtained for the final energy is -4.4779 eV/atom. The calculation puts the excess energy over the best structure of this formula in the dataset at 0.414 eV per atom.



LiMo2Au: relaxed, GGA-PBE.

Cell and atoms, written as POSCAR:
```
LiMo2Au
1.0
5.235 -0.091 -0.042
4.147 3.196 -0.042
1.465 0.485 3.548
Li Au Mo
1 1 2
direct
0.250 0.250 0.250
0.750 0.750 0.750
0.998 0.998 0.001
0.502 0.502 0.499
```

Output
The calculation puts the formation enthalpy at 0 K at 11.97 kJ/mol of atoms. The value obtained for the final energy is -6.5893 eV/atom. The calculation puts the excess energy over the best structure of this formula in the dataset at 0.028 eV per atom.



LiMo2Au: relaxed, GGA-PBE.

Cell and atoms, written as POSCAR:
```
LiMo2Au
1.0
5.044 -0.010 -0.009
1.822 4.703 0.009
-2.907 -3.116 2.698
Mo Li Au
2 1 1
direct
0.770 0.270 0.500
0.985 0.985 0.000
0.252 0.752 0.500
0.493 0.493 0.000
```

Output
The calculation puts the formation enthalpy at 0 K at 25.16 kJ/mol of atoms. The value obtained for the final energy is -6.4526 eV/atom. The calculation puts the excess energy over the best structure of this formula in the dataset at 0.164 eV per atom.



LiMo2Au: relaxed, GGA-PBE.

Cell and atoms, written as POSCAR:
```
LiMo2Au
1.0
-2.394 0.750 -3.828
-0.998 -3.522 -0.066
-2.956 0.800 2.006
Au Mo Li
1 2 1
direct
0.500 0.500 0.000
0.000 0.000 0.000
0.000 0.500 0.500
0.500 0.000 0.500
```

Output
The calculation puts the formation enthalpy at 0 K at 14.25 kJ/mol of atoms. The value obtained for the final energy is -6.5657 eV/atom. The calculation puts the excess energy over the best structure of this formula in the dataset at 0.051 eV per atom.



Magnetic moment readings, ordered: 0.00, 0.00, 0.00, 0.00, 0.00, 0.00 Bohr magnetons per cell